Record 1
Compound: ThBi2Pd9
Source: Alexandria via LeMat-Bulk
Functional: PBE
Structure: optimized geometry

* density of states at the Fermi level: 4.0 states/eV per cell
* formation energy: -478 meV per atom
* space group: No. 123

Lattice parameters (Å, degrees): 4.194 4.194 12.349 90.00 90.00 90.00
Positions (direct):
Pd (0.500, 0.500, 0.336)
Pd (0.500, 0.500, 0.000)
Pd (0.500, 0.000, 0.500)
Pd (0.000, 0.500, 0.167)
Pd (0.500, 0.000, 0.833)
Pd (0.000, 0.500, 0.833)
Pd (0.000, 0.500, 0.500)
Pd (0.500, 0.500, 0.664)
Pd (0.500, 0.000, 0.167)
Bi (0.000, 0.000, 0.338)
Bi (0.000, 0.000, 0.662)
Th (0.000, 0.000, 0.000)

Record 2
Compound: NaNb3O8
Source: Alexandria via LeMat-Bulk
Functional: PBE
Structure: optimized geometry

* density of states at the Fermi level: 0.0 states/eV per cell
* relative energy among the computed polymorphs: 5.9 kJ/mol of atoms
* ΔE_f (raw): -29.34 eV/f.u.
* space group: No. 8

Lattice parameters (Å, degrees): 3.889 7.247 6.955 106.82 106.24 90.00
Positions (direct):
Nb (0.690, 0.306, 0.381)
Nb (0.396, 0.282, 0.793)
Nb (0.613, 0.742, 0.227)
O (0.236, 0.318, 0.472)
O (0.861, 0.319, 0.722)
O (0.644, 0.021, 0.288)
O (0.724, 0.591, 0.448)
O (0.358, 0.027, 0.716)
O (0.547, 0.303, 0.094)
O (0.136, 0.737, 0.272)
O (0.471, 0.615, 0.942)
Na (0.321, 0.708, 0.642)

Record 3
Compound: LaTbTm2
Source: Alexandria via LeMat-Bulk
Functional: PBE
Structure: optimized geometry

* density of states at the Fermi level: 6.9 states/eV per cell
* relative energy among the computed polymorphs: 2.0 kJ/mol of atoms
* formation energy: 36 meV per atom
* space group: No. 123

Lattice parameters (Å, degrees): 3.593 3.593 10.000 90.00 90.00 90.00
Positions (direct):
Tm (0.000, 0.000, 0.757)
Tm (0.000, 0.000, 0.243)
Tb (0.500, 0.500, 0.000)
La (0.500, 0.500, 0.500)

Record 4
Compound: CaCuSb
Source: Alexandria via LeMat-Bulk
Functional: PBE
Structure: optimized geometry

* density of states at the Fermi level: 0.4 states/eV per cell
* ΔE_f (raw): -0.65 eV/f.u.
* space group: No. 194

Lattice parameters (Å, degrees): 5.154 5.154 6.161 90.00 90.00 120.00
Positions (direct):
Ca (0.333, 0.667, 0.250)
Ca (0.667, 0.333, 0.750)
Sb (0.333, 0.667, 0.750)
Sb (0.667, 0.333, 0.250)
Cu (0.000, 0.000, 0.500)
Cu (0.000, 0.000, 0.000)

Record 5
Compound: YEr4Bi3
Source: Alexandria via LeMat-Bulk
Functional: PBE
Structure: optimized geometry

* density of states at the Fermi level: 7.0 states/eV per cell
* formation energy: -350 meV per atom
* space group: No. 12

Lattice parameters (Å, degrees): 4.066 20.081 32.616 173.24 93.57 90.00
Positions (direct):
Er (0.952, 0.027, 0.905)
Er (0.455, 0.191, 0.911)
Er (0.545, 0.809, 0.089)
Er (0.048, 0.973, 0.095)
Y (0.000, 0.000, 0.000)
Bi (0.700, 0.743, 0.401)
Bi (0.500, 0.500, 0.000)
Bi (0.300, 0.257, 0.599)

Record 6
Compound: ScC2
Source: Alexandria via LeMat-Bulk
Functional: PBE
Structure: optimized geometry

* density of states at the Fermi level: 2.0 states/eV per cell
* formation energy: 295 meV per atom
* space group: No. 141

Lattice parameters (Å, degrees): 5.388 5.388 5.388 143.37 143.37 52.77
Positions (direct):
C (0.575, 0.575, 0.000)
C (0.175, 0.675, 0.500)
C (0.425, 0.425, 0.000)
C (0.325, 0.825, 0.500)
Sc (0.000, 0.000, 0.000)
Sc (0.750, 0.250, 0.500)

| no. | E (eV/atom) |
| --- | --- |
| 1 | -5.64 |
| 2 | -8.38 |
| 3 | -4.59 |
| 4 | -3.62 |
| 5 | -4.90 |
| 6 | -7.96 |